A plane-wave DFT calculation with PBE-GGA was carried out for a geometry-optimized CdGaHgSb structure.

Computed properties:
* DFT total energy: -2.041 eV per atom
* magnetization: 0.0 Bohr magnetons per cell
* raw formation energy: 0.0508 eV per atom

```
CdGaHgSb
1.0
7.346 0.000 0.000
0.000 7.346 0.000
0.000 0.000 7.346
Cd Ga Hg Sb
4 4 4 4
Direct
0.000 0.000 0.000
0.000 0.500 0.500
0.500 0.000 0.500
0.500 0.500 0.000
0.000 0.000 0.500
0.000 0.500 0.000
0.500 0.000 0.000
0.500 0.500 0.500
0.250 0.250 0.750
0.250 0.750 0.250
0.750 0.250 0.250
0.750 0.750 0.750
0.250 0.250 0.250
0.250 0.750 0.750
0.750 0.250 0.750
0.750 0.750 0.250
```